Here is crystalline ScNbNi2 at its relaxed geometry from the Alexandria database. Energies are from PBE-GGA.

a b c (Å): 6.9035 6.9035 5.4025
angles (deg): 90.00 90.00 90.00
Last column: nearest neighbours and their distance in Å.
Space group I-42d (No. 122)
Symmetry-distinct sites (fractional):
Sc 0.0000 0.0000 0.0000  4 Ni 2.60, 2 Nb 2.70
Nb 0.0000 0.0000 0.5000  4 Ni 2.47, 2 Sc 2.70
Ni 0.2365 0.2500 0.6250  2 Nb 2.47, 2 Sc 2.60, 2 Ni 2.71

Summary:
Calculated total energy   -6.822 eV/atom
Calculated density   6.6 g/cm³

Here is crystalline InPN3 at its relaxed geometry from the Alexandria database. Energies are from PBE-GGA.

a b c (Å): 5.3228 8.6960 5.1326
angles (deg): 90.00 90.00 90.00
Last column: nearest neighbours and their distance in Å.
Space group Pnma (No. 62)
Symmetry-distinct sites (fractional):
In 0.0000 0.0000 0.0000  6 N 2.21-2.38
P 0.1363 0.2500 0.4380  4 N 1.63-1.76
N 0.0534 0.7500 0.8179  2 P 1.66-1.76
N 0.1278 0.0919 0.6069  1 P 1.63

Summary:
Calculated total energy   -6.380 eV/atom
Uncorrected formation energy   1.23 eV/f.u.
Calculated density   5.3 g/cm³